(1)
! YSbI2O | the Alexandria database | PBE | optimized geometry; values from VASP
&SYSTEM
  ibrav = 0, nat = 5, ntyp = 4
/
ATOMIC_SPECIES
I 126.90 I.upf
Y 88.91 Y.upf
O 16.00 O.upf
Sb 121.76 Sb.upf
CELL_PARAMETERS angstrom
5.116 0.000 0.000
0.000 5.116 0.000
0.000 0.000 4.828
ATOMIC_POSITIONS crystal
I 0.500 0.000 0.000
I 0.000 0.500 0.000
Y 0.500 0.500 0.500
O 0.000 0.000 0.000
Sb 0.000 0.000 0.500
! Crystal system: tetragonal
! Polymorph energy (0 for the lowest one) (meV/atom): 729
! E_form (uncorrected) (meV/atom): -222
! Total energy (eV per atom): -3.9510


(2)
! Sb2PbN | the Alexandria database | PBE | optimized geometry; values from VASP
&SYSTEM
  ibrav = 0, nat = 8, ntyp = 3
/
ATOMIC_SPECIES
Pb 207.20 Pb.upf
Sb 121.76 Sb.upf
N 14.01 N.upf
CELL_PARAMETERS angstrom
3.271 0.000 0.000
-1.635 13.060 3.619
0.000 6.506 6.835
ATOMIC_POSITIONS crystal
Pb 0.400 0.800 0.384
Pb 0.600 0.200 0.616
Sb 0.897 0.793 0.738
Sb 0.103 0.207 0.262
Sb 0.152 0.305 0.832
Sb 0.848 0.695 0.168
N 0.570 0.141 0.958
N 0.430 0.859 0.042
! Crystal system: monoclinic
! Polymorph energy (0 for the lowest one) (meV/atom): 0
! E_form (uncorrected) (meV/atom): 280
! Total energy (eV per atom): -4.7896


(3)
! SmPdPt3 | the Alexandria database | PBE | optimized geometry; values from VASP
&SYSTEM
  ibrav = 0, nat = 5, ntyp = 3
/
ATOMIC_SPECIES
Sm 150.36 Sm.upf
Pt 195.08 Pt.upf
Pd 106.42 Pd.upf
CELL_PARAMETERS angstrom
-3.691 -5.169 -4.655
-0.003 -5.358 -0.227
-4.604 2.655 0.702
ATOMIC_POSITIONS crystal
Sm 0.500 0.000 0.000
Pt 0.000 0.000 0.500
Pt 0.000 0.500 0.000
Pt 0.000 0.500 0.500
Pd 0.000 0.000 0.000
! Crystal system: trigonal
! Polymorph energy (0 for the lowest one) (meV/atom): 244
! Total energy (eV per atom): -6.0221
! E_form (eV per atom): -0.415


(4)
! PdRh2Se6 | the Alexandria database | PBE | optimized geometry; values from VASP
&SYSTEM
  ibrav = 0, nat = 18, ntyp = 3
/
ATOMIC_SPECIES
Se 78.96 Se.upf
Rh 102.91 Rh.upf
Pd 106.42 Pd.upf
CELL_PARAMETERS angstrom
5.716 0.000 0.000
0.000 5.716 0.000
0.000 0.000 11.881
ATOMIC_POSITIONS crystal
Se 0.307 0.307 0.170
Se 0.310 0.310 0.500
Se 0.690 0.690 0.500
Se 0.193 0.807 0.670
Se 0.307 0.307 0.830
Se 0.693 0.693 0.170
Se 0.810 0.190 0.000
Se 0.807 0.193 0.670
Se 0.807 0.193 0.330
Se 0.693 0.693 0.830
Se 0.193 0.807 0.330
Se 0.190 0.810 0.000
Rh 0.500 0.500 0.335
Rh 0.000 0.000 0.165
Rh 0.000 0.000 0.835
Rh 0.500 0.500 0.665
Pd 0.500 0.500 0.000
Pd 0.000 0.000 0.500
! Crystal system: tetragonal
! Polymorph energy (0 for the lowest one) (meV/atom): 207
! E_form (uncorrected) (meV/atom): -119
! Total energy (eV per atom): -4.6524


(5)
! NaInBi3 | the Alexandria database | PBE | optimized geometry; values from VASP
&SYSTEM
  ibrav = 0, nat = 10, ntyp = 3
/
ATOMIC_SPECIES
Bi 208.98 Bi.upf
Na 22.99 Na.upf
In 114.82 In.upf
CELL_PARAMETERS angstrom
-2.073 1.743 -3.851
-4.423 -0.782 2.027
3.771 13.004 3.856
ATOMIC_POSITIONS crystal
Bi 0.250 0.553 0.308
Bi 0.750 0.117 0.319
Bi 0.750 0.447 0.692
Bi 0.250 0.883 0.681
Bi 0.750 0.669 0.093
Bi 0.250 0.331 0.907
Na 0.250 0.245 0.502
Na 0.750 0.755 0.498
In 0.250 0.113 0.100
In 0.750 0.887 0.900
! Crystal system: monoclinic
! Polymorph energy (0 for the lowest one) (meV/atom): 0
! Total energy (eV per atom): -3.2114
! E_form (eV per atom): -0.071


(6)
! ErPd7Pt4 | the Alexandria database | PBE | optimized geometry; values from VASP
&SYSTEM
  ibrav = 0, nat = 12, ntyp = 3
/
ATOMIC_SPECIES
Pt 195.08 Pt.upf
Pd 106.42 Pd.upf
Er 167.26 Er.upf
CELL_PARAMETERS angstrom
4.913 0.000 0.000
2.456 8.365 -0.283
2.456 0.093 5.072
ATOMIC_POSITIONS crystal
Pt 0.576 0.231 0.616
Pt 0.275 0.316 0.134
Pt 0.424 0.769 0.384
Pt 0.725 0.684 0.866
Pd 0.660 0.449 0.231
Pd 0.500 0.000 0.000
Pd 0.209 0.083 0.500
Pd 0.791 0.917 0.500
Pd 0.340 0.551 0.769
Pd 0.967 0.379 0.688
Pd 0.033 0.621 0.312
Er 0.000 0.000 0.000
! Crystal system: monoclinic
! Total energy (eV per atom): -5.4713
! E_form (eV per atom): -0.048


(7)
! InCuSn2 | the Alexandria database | PBE | optimized geometry; values from VASP
&SYSTEM
  ibrav = 0, nat = 4, ntyp = 3
/
ATOMIC_SPECIES
In 114.82 In.upf
Sn 118.71 Sn.upf
Cu 63.55 Cu.upf
CELL_PARAMETERS angstrom
0.000 3.614 3.614
3.614 0.000 3.614
3.614 3.614 0.000
ATOMIC_POSITIONS crystal
In 0.500 0.500 0.500
Sn 0.750 0.750 0.750
Sn 0.250 0.250 0.250
Cu 0.000 0.000 0.000
! Crystal system: cubic
! Polymorph energy (0 for the lowest one) (meV/atom): 171
! Total energy (eV per atom): -3.4700
! E_form (eV per atom): 0.240


(8)
! RbTe2RuN | the Alexandria database | PBE | optimized geometry; values from VASP
&SYSTEM
  ibrav = 0, nat = 5, ntyp = 4
/
ATOMIC_SPECIES
Rb 85.47 Rb.upf
Te 127.60 Te.upf
N 14.01 N.upf
Ru 101.07 Ru.upf
CELL_PARAMETERS angstrom
-5.351 1.870 -1.606
-2.163 -5.403 0.918
-0.738 0.889 3.494
ATOMIC_POSITIONS crystal
Rb 0.500 0.500 0.500
Te 0.000 0.500 0.000
Te 0.500 0.000 0.000
N 0.000 0.000 0.500
Ru 0.000 0.000 0.000
! Crystal system: tetragonal
! Polymorph energy (0 for the lowest one) (meV/atom): 0
! E_form (uncorrected) (meV/atom): 72
! Total energy (eV per atom): -4.8980


(9)
! NaUSb2O8 | the Alexandria database | PBE | optimized geometry; values from VASP
&SYSTEM
  ibrav = 0, nat = 12, ntyp = 4
/
ATOMIC_SPECIES
Sb 121.76 Sb.upf
O 16.00 O.upf
Na 22.99 Na.upf
U 238.03 U.upf
CELL_PARAMETERS angstrom
-5.101 -1.797 2.475
0.571 0.068 -5.919
2.387 -6.562 0.154
ATOMIC_POSITIONS crystal
Sb 0.333 0.667 0.700
Sb 0.667 0.333 0.300
O 0.163 0.837 0.810
O 0.837 0.163 0.190
O 0.333 0.667 0.435
O 0.667 0.333 0.565
O 0.325 0.163 0.190
O 0.837 0.675 0.190
O 0.675 0.837 0.810
O 0.163 0.325 0.810
Na 0.000 0.000 0.500
U 0.000 0.000 0.000
! Crystal system: trigonal
! E_form (uncorrected) (meV/atom): -1773
! Total energy (eV per atom): -6.8162